[1]
Below is crystalline Tl2MoW at its relaxed geometry, with properties calculated at the PBE level.

Results
Offset from the most stable computed form (kJ/mol of formula units): 13
DFT total energy (eV/atom): -6.551
Calculated volume (Å³ per cell): 87.7
Energy of formation from the pure elements (eV per atom): 0.5778
M_tot (μB/atom): 0.00

CIF file:
```
data_Tl2MoW
_space_group_name_H-M_alt 'P 4 m m'
_space_group_IT_number 99
_cell_length_a 3.2084
_cell_length_b 3.2084
_cell_length_c 8.5229
_cell_angle_alpha 90.00
_cell_angle_beta 90.00
_cell_angle_gamma 90.00
loop_
_space_group_symop_operation_xyz
'x,y,z'
'-y,x,z'
'-x,-y,z'
'y,-x,z'
'-x,y,z'
'y,x,z'
'x,-y,z'
'-y,-x,z'
loop_
_atom_site_label
_atom_site_type_symbol
_atom_site_fract_x
_atom_site_fract_y
_atom_site_fract_z
Tl1 Tl 0.0000 0.0000 0.0000
Tl2 Tl 0.5000 0.5000 0.3315
Mo1 Mo 0.5000 0.5000 0.7434
W1 W 0.0000 0.0000 0.5912
```

=====

[2]
Below is crystalline TlMo2W at its relaxed geometry, with properties calculated at the PBE level.

Results
Offset from the most stable computed form (kJ/mol of formula units): 259
DFT total energy (eV/atom): -8.136
Calculated volume (Å³ per cell): 315.3
Energy of formation from the pure elements (eV per atom): 1.1098
M_tot (μB/atom): 0.00

CIF file:
```
data_TlMo2W
_space_group_name_H-M_alt 'I -4 2 d'
_space_group_IT_number 122
_space_group_name_Hall 'I -4 2bw'
_cell_length_a 7.5293
_cell_length_b 7.5293
_cell_length_c 5.5619
_cell_angle_alpha 90.00
_cell_angle_beta 90.00
_cell_angle_gamma 90.00
loop_
_atom_site_label
_atom_site_type_symbol
_atom_site_fract_x
_atom_site_fract_y
_atom_site_fract_z
Tl1 Tl 0.0000 0.0000 0.0000
Mo1 Mo 0.2005 0.2500 0.6250
W1 W 0.0000 0.0000 0.5000
```

=====

[3]
Below is crystalline TlMoW at its relaxed geometry, with properties calculated at the PBE level.

Results
Offset from the most stable computed form (kJ/mol of formula units): 186
DFT total energy (eV/atom): -7.454
Calculated volume (Å³ per cell): 257.2
Energy of formation from the pure elements (eV per atom): 1.2626
M_tot (μB/atom): 0.00

CIF file:
```
data_TlMoW
_space_group_name_H-M_alt 'F -4 3 m'
_space_group_IT_number 216
_space_group_name_Hall 'F -4 2 3'
_cell_length_a 6.3591
_cell_length_b 6.3591
_cell_length_c 6.3591
_cell_angle_alpha 90.00
_cell_angle_beta 90.00
_cell_angle_gamma 90.00
loop_
_atom_site_label
_atom_site_type_symbol
_atom_site_fract_x
_atom_site_fract_y
_atom_site_fract_z
Tl1 Tl 0.0000 0.0000 0.0000
Mo1 Mo 0.0000 0.0000 0.5000
W1 W 0.2500 0.2500 0.2500
```

=====

[4]
Below is crystalline TlMo2W at its relaxed geometry, with properties calculated at the PBE level.

Results
Offset from the most stable computed form (kJ/mol of formula units): 24
DFT total energy (eV/atom): -8.746
Calculated volume (Å³ per cell): 142.1
Energy of formation from the pure elements (eV per atom): 0.4995
M_tot (μB/atom): 0.00

CIF file:
```
data_TlMo2W
_space_group_name_H-M_alt 'C m m 2'
_space_group_IT_number 35
_cell_length_a 3.2397
_cell_length_b 4.7389
_cell_length_c 9.2571
_cell_angle_alpha 90.00
_cell_angle_beta 90.00
_cell_angle_gamma 90.00
loop_
_space_group_symop_operation_xyz
'x,y,z'
'-x,-y,z'
'-x,y,z'
'x,-y,z'
'x+1/2,y+1/2,z'
'-x+1/2,-y+1/2,z'
'-x+1/2,y+1/2,z'
'x+1/2,-y+1/2,z'
loop_
_atom_site_label
_atom_site_type_symbol
_atom_site_fract_x
_atom_site_fract_y
_atom_site_fract_z
Tl1 Tl 0.0000 0.0000 0.0000
Mo1 Mo 0.0000 0.0000 0.5027
Mo2 Mo 0.0000 0.5000 0.7310
W1 W 0.0000 0.5000 0.2738
```

=====

[5]
Below is crystalline TlMoW at its relaxed geometry, with properties calculated at the PBE level.

Results
Offset from the most stable computed form (kJ/mol of formula units): 0
DFT total energy (eV/atom): -8.099
Calculated volume (Å³ per cell): 227.4
Energy of formation from the pure elements (eV per atom): 0.6183
M_tot (μB/atom): 0.00

CIF file:
```
data_TlMoW
_space_group_name_H-M_alt 'F m m 2'
_space_group_IT_number 42
_space_group_name_Hall 'F 2 -2'
_cell_length_a 3.1846
_cell_length_b 5.0012
_cell_length_c 14.2771
_cell_angle_alpha 90.00
_cell_angle_beta 90.00
_cell_angle_gamma 90.00
loop_
_atom_site_label
_atom_site_type_symbol
_atom_site_fract_x
_atom_site_fract_y
_atom_site_fract_z
Tl1 Tl 0.0000 0.0000 0.0000
Mo1 Mo 0.0000 0.0000 0.3207
W1 W 0.0000 0.0000 0.6817
```

=====

[6]
Below is crystalline Tl2MoW at its relaxed geometry, with properties calculated at the PBE level.

Results
Offset from the most stable computed form (kJ/mol of formula units): 246
DFT total energy (eV/atom): -5.949
Calculated volume (Å³ per cell): 317.1
Energy of formation from the pure elements (eV per atom): 1.1803
M_tot (μB/atom): 0.00

CIF file:
```
data_Tl2MoW
_space_group_name_H-M_alt 'F -4 3 m'
_space_group_IT_number 216
_space_group_name_Hall 'F -4 2 3'
_cell_length_a 6.8194
_cell_length_b 6.8194
_cell_length_c 6.8194
_cell_angle_alpha 90.00
_cell_angle_beta 90.00
_cell_angle_gamma 90.00
loop_
_atom_site_label
_atom_site_type_symbol
_atom_site_fract_x
_atom_site_fract_y
_atom_site_fract_z
Tl1 Tl 0.0000 0.0000 0.0000
Tl2 Tl 0.2500 0.2500 0.2500
Mo1 Mo 0.0000 0.0000 0.5000
W1 W 0.2500 0.2500 0.7500
```

=====

[7]
Below is crystalline Tl2MoW at its relaxed geometry, with properties calculated at the PBE level.

Results
Offset from the most stable computed form (kJ/mol of formula units): 180
DFT total energy (eV/atom): -6.119
Calculated volume (Å³ per cell): 156.4
Energy of formation from the pure elements (eV per atom): 1.0104
M_tot (μB/atom): 0.00

CIF file:
```
data_Tl2MoW
_space_group_name_H-M_alt 'C m m m'
_space_group_IT_number 65
_space_group_name_Hall '-C 2 2'
_cell_length_a 3.2429
_cell_length_b 5.0062
_cell_length_c 9.6361
_cell_angle_alpha 90.00
_cell_angle_beta 90.00
_cell_angle_gamma 90.00
loop_
_atom_site_label
_atom_site_type_symbol
_atom_site_fract_x
_atom_site_fract_y
_atom_site_fract_z
Tl1 Tl 0.0000 0.0000 0.2480
Mo1 Mo 0.0000 0.5000 0.0000
W1 W 0.0000 0.5000 0.5000
```

=====

[8]
Below is crystalline TlMo2W at its relaxed geometry, with properties calculated at the PBE level.

Results
Offset from the most stable computed form (kJ/mol of formula units): 51
DFT total energy (eV/atom): -8.676
Calculated volume (Å³ per cell): 71.3
Energy of formation from the pure elements (eV per atom): 0.5694
M_tot (μB/atom): 0.00

CIF file:
```
data_TlMo2W
_space_group_name_H-M_alt 'P 4 m m'
_space_group_IT_number 99
_cell_length_a 3.3924
_cell_length_b 3.3924
_cell_length_c 6.1981
_cell_angle_alpha 90.00
_cell_angle_beta 90.00
_cell_angle_gamma 90.00
loop_
_space_group_symop_operation_xyz
'x,y,z'
'-y,x,z'
'-x,-y,z'
'y,-x,z'
'-x,y,z'
'y,x,z'
'x,-y,z'
'-y,-x,z'
loop_
_atom_site_label
_atom_site_type_symbol
_atom_site_fract_x
_atom_site_fract_y
_atom_site_fract_z
Tl1 Tl 0.0000 0.0000 0.0000
Mo1 Mo 0.0000 0.0000 0.5014
Mo2 Mo 0.5000 0.5000 0.7139
W1 W 0.5000 0.5000 0.2926
```